Entry from Alexandria via LeMat-Bulk: an optimized crystal structure of Ba2P2O7 (GGA-PBEsol).

a b c (Å): 9.299 5.599 13.851
angles (deg): 90.00 90.00 90.00
Atoms (fractional coordinates):
1 Ba 0.137 0.250 0.083
2 Ba 0.159 0.250 0.755
3 Ba 0.341 0.750 0.255
4 Ba 0.363 0.750 0.583
5 Ba 0.637 0.250 0.417
6 Ba 0.659 0.250 0.745
7 Ba 0.841 0.750 0.245
8 Ba 0.863 0.750 0.917
9 P 0.046 0.250 0.315
10 P 0.218 0.750 0.957
11 P 0.282 0.250 0.457
12 P 0.454 0.750 0.815
13 P 0.546 0.250 0.185
14 P 0.718 0.750 0.543
15 P 0.782 0.250 0.043
16 P 0.954 0.750 0.685
17 O 0.096 0.024 0.262
18 O 0.096 0.476 0.262
19 O 0.115 0.750 0.669
20 O 0.116 0.250 0.422
21 O 0.144 0.524 0.919
22 O 0.144 0.976 0.919
23 O 0.226 0.750 0.068
24 O 0.274 0.250 0.568
25 O 0.356 0.024 0.419
26 O 0.356 0.476 0.419
27 O 0.384 0.750 0.922
28 O 0.385 0.250 0.169
29 O 0.404 0.524 0.762
30 O 0.404 0.976 0.762
31 O 0.596 0.024 0.238
32 O 0.596 0.476 0.238
33 O 0.615 0.750 0.831
34 O 0.616 0.250 0.078
35 O 0.644 0.524 0.581
36 O 0.644 0.976 0.581
37 O 0.726 0.750 0.432
38 O 0.774 0.250 0.932
39 O 0.856 0.024 0.081
40 O 0.856 0.476 0.081
41 O 0.884 0.750 0.578
42 O 0.885 0.250 0.331
43 O 0.904 0.524 0.738
44 O 0.904 0.976 0.738

E_form (uncorrected) ... -2.796 eV per atom
Volume ... 16.4 Å³/atom
Electronic total energy ... -333.5 eV for the cell shown

***

Entry from Alexandria via LeMat-Bulk: an optimized crystal structure of Ho2Ga3Fe (GGA-PBEsol).

a b c (Å): 5.494 5.494 6.963
angles (deg): 128.39 128.39 45.13
Atoms (fractional coordinates):
1 Ho 0.000 0.000 0.000
2 Ho 0.098 0.098 0.598
3 Ga 0.376 0.376 0.177
4 Ga 0.401 0.401 0.611
5 Ga 0.715 0.715 0.390
6 Fe 0.712 0.712 0.007

Volume ... 18.4 Å³/atom
Electronic total energy ... -32.0 eV for the cell shown

***

Entry from Alexandria via LeMat-Bulk: an optimized crystal structure of Ho2Zr2O7 (GGA-PBEsol).

a b c (Å): 7.737 5.443 13.536
angles (deg): 90.00 98.57 90.00
Atoms (fractional coordinates):
1 Ho 0.134 0.000 0.059
2 Ho 0.240 0.450 0.429
3 Ho 0.287 0.915 0.634
4 Ho 0.362 0.437 0.896
5 Ho 0.638 0.937 0.104
6 Ho 0.713 0.415 0.366
7 Ho 0.760 0.950 0.571
8 Ho 0.866 0.500 0.941
9 Zr 0.027 0.434 0.619
10 Zr 0.075 0.940 0.820
11 Zr 0.411 0.451 0.171
12 Zr 0.467 0.936 0.372
13 Zr 0.533 0.436 0.628
14 Zr 0.589 0.951 0.829
15 Zr 0.925 0.440 0.180
16 Zr 0.973 0.934 0.381
17 O 0.006 0.589 0.326
18 O 0.075 0.723 0.522
19 O 0.079 0.227 0.918
20 O 0.140 0.638 0.731
21 O 0.155 0.717 0.936
22 O 0.170 0.306 0.173
23 O 0.223 0.058 0.384
24 O 0.272 0.306 0.586
25 O 0.323 0.081 0.797
26 O 0.364 0.791 0.125
27 O 0.416 0.583 0.327
28 O 0.426 0.252 0.045
29 O 0.441 0.718 0.525
30 O 0.472 0.647 0.737
31 O 0.528 0.147 0.263
32 O 0.559 0.218 0.475
33 O 0.574 0.752 0.955
34 O 0.584 0.083 0.673
35 O 0.636 0.291 0.875
36 O 0.677 0.581 0.203
37 O 0.728 0.806 0.414
38 O 0.777 0.558 0.616
39 O 0.830 0.806 0.827
40 O 0.845 0.217 0.064
41 O 0.860 0.138 0.269
42 O 0.921 0.727 0.082
43 O 0.925 0.223 0.478
44 O 0.994 0.089 0.674

E_form (uncorrected) ... -3.524 eV per atom
Volume ... 12.8 Å³/atom
Electronic total energy ... -414.4 eV for the cell shown

***

Entry from Alexandria via LeMat-Bulk: an optimized crystal structure of Os3RuN (GGA-PBEsol).

a b c (Å): 3.986 3.986 3.986
angles (deg): 90.00 90.00 90.00
Atoms (fractional coordinates):
1 Os 0.000 0.000 0.500
2 Os 0.000 0.500 0.000
3 Os 0.500 0.000 0.000
4 Ru 0.500 0.500 0.500
5 N 0.000 0.000 0.000

E_form (uncorrected) ... 0.637 eV per atom
Excess energy over the best structure of this formula in the dataset ... 0.000 eV/atom
Volume ... 12.7 Å³/atom
Electronic total energy ... -52.2 eV for the cell shown

***

Entry from Alexandria via LeMat-Bulk: an optimized crystal structure of Tl2AgOs (GGA-PBEsol).

a b c (Å): 3.254 3.254 7.166
angles (deg): 90.00 90.00 90.00
Atoms (fractional coordinates):
1 Tl 0.000 0.000 0.232
2 Tl 0.000 0.000 0.768
3 Ag 0.500 0.500 0.500
4 Os 0.500 0.500 0.000

Excess energy over the best structure of this formula in the dataset ... 0.000 eV/atom
Volume ... 19.0 Å³/atom
Electronic total energy ... -17.9 eV for the cell shown

***

Entry from Alexandria via LeMat-Bulk: an optimized crystal structure of AlTcMo2 (GGA-PBEsol).

a b c (Å): 5.085 5.085 2.700
angles (deg): 98.85 98.85 118.24
Atoms (fractional coordinates):
1 Al 0.000 0.000 0.000
2 Tc 0.500 0.500 0.000
3 Mo 0.000 0.500 0.500
4 Mo 0.500 0.000 0.500

Volume ... 14.7 Å³/atom
Electronic total energy ... -39.0 eV for the cell shown